No. 1
DFT (GGA-PBE) results for an optimized crystal structure of BaNiP3.

Cell: 4.670 4.670 4.670 Å, 90.00 90.00 90.00°
Element x y z (fractional)
Ni  0.000  0.000  0.000
P  0.000  0.000  0.500
Ba  0.500  0.500  0.500
P  0.500  0.000  0.000
P  0.000  0.500  0.000

Results
Calculated formation energy: -0.39 eV per formula unit
Fermi-level density of states: 3.72 states/eV/f.u.
E_tot: -4.865 eV/atom



No. 2
DFT (GGA-PBE) results for an optimized crystal structure of BaNi2P.

Cell: 6.050 6.050 6.050 Å, 38.82 38.82 38.82°
Element x y z (fractional)
Ba  0.247  0.247  0.247
Ni  0.754  0.754  0.754
P  0.438  0.438  0.438
Ni  0.060  0.060  0.060

Results
Calculated formation energy: -1.96 eV per formula unit
Fermi-level density of states: 3.65 states/eV/f.u.
E_tot: -5.213 eV/atom



No. 3
DFT (GGA-PBE) results for an optimized crystal structure of BaNi2P.

Cell: 3.139 3.139 7.106 Å, 90.00 90.00 90.00°
Element x y z (fractional)
Ni  0.000  0.000  0.164
Ni  0.000  0.000  0.836
P  0.500  0.500  0.000
Ba  0.500  0.500  0.500

Results
Calculated formation energy: 0.64 eV per formula unit
Fermi-level density of states: 2.39 states/eV/f.u.
E_tot: -4.563 eV/atom



No. 4
DFT (GGA-PBE) results for an optimized crystal structure of BaNi2P.

Cell: 3.668 4.834 4.975 Å, 90.00 90.00 90.00°
Element x y z (fractional)
Ni  0.000  0.751  0.000
Ni  0.000  0.249  0.000
P  0.500  0.000  0.000
Ba  0.500  0.500  0.500

Results
Calculated formation energy: -1.51 eV per formula unit
Fermi-level density of states: 2.39 states/eV/f.u.
E_tot: -5.101 eV/atom



Q: What is the Fermi-level density of states in the third record?
A: 2.39 states/eV/f.u.



Q: What is the Fermi-level density of states in the fourth record?
A: 2.39 states/eV/f.u.